(1)
## Na2PdSe2 (GGA-PBE)

Data for a relaxed Na2PdSe2 crystal.

extended XYZ file:
```
10
Lattice="-2.304 -5.546 -3.421 2.503 -4.103 4.966 -3.941 0.273 2.212" Properties=species:S:1:pos:R:3 pbc="T T T"
Pd 0.000 0.000 0.000
Pd 0.100 -4.824 0.772
Se 1.319 -5.309 3.004
Se 0.471 -2.286 1.120
Se -1.120 -4.340 -1.459
Se -0.271 -7.363 0.425
Na -3.054 -5.958 -0.073
Na -1.368 -6.964 3.055
Na -0.688 -3.418 3.829
Na -2.374 -2.412 0.701
```

## Properties
**Space group**: P4/mbm
**E_form (uncorrected)**: -0.678 eV per atom

(2)
## CaPd2C (GGA-PBE)

Data for a relaxed CaPd2C crystal.

extended XYZ file:
```
8
Lattice="-2.588 1.055 -2.154 -1.143 -3.851 -0.513 -5.689 0.730 7.192" Properties=species:S:1:pos:R:3 pbc="T T T"
Ca -6.698 1.221 5.754
Ca -3.131 -1.597 2.979
C -0.985 0.126 1.246
C -5.696 -0.907 3.508
Pd -2.906 0.735 0.961
Pd -4.808 0.979 3.365
Pd -1.241 -1.840 0.590
Pd -5.028 -1.354 5.377
```

## Properties
**Calculated total energy**: -0.20106 hartree per atom
**Space group**: Imm2

Number 1: size of the total moment 0.000 μB/f.u., volume 21.62 Å³/atom. Number 2: size of the total moment 0.000 μB/f.u., volume 16.44 Å³/atom.